[1]
Computed, not measured: crystalline ScMn2TlP at its relaxed geometry at the PBEsol level of DFT.

Structure (POSCAR):
```
ScMn2TlP
1.0
4.292 0.000 0.000
0.000 4.292 0.000
0.000 0.000 5.152
Mn Tl P Sc
2 1 1 1
direct
0.500 0.000 0.000
0.000 0.500 0.000
0.000 0.000 0.500
0.000 0.000 0.000
0.500 0.500 0.500
```

The energy of formation comes out at 7.863 kcal/mol of atoms. The calculation puts the total magnetization at 4.77 μB per formula unit. Its symmetry is No. 123.

[2]
Computed, not measured: crystalline MnPSe3 at its relaxed geometry at the PBEsol level of DFT.

Structure (POSCAR):
```
MnPSe3
1.0
-1.589 -1.306 5.881
-5.855 -1.645 1.353
-0.919 -7.363 1.417
Mn P Se
2 2 6
direct
0.833 0.833 0.501
0.167 0.167 0.499
0.444 0.444 0.668
0.556 0.556 0.332
0.584 0.929 0.250
0.071 0.763 0.750
0.929 0.237 0.250
0.416 0.071 0.750
0.763 0.416 0.750
0.237 0.584 0.250
```

The calculation puts the total magnetization at 4.47 μB per formula unit. Its symmetry is No. 148. As for the uncorrected formation energy: -187 meV/atom.

[3]
Computed, not measured: crystalline MnPSe at its relaxed geometry at the PBEsol level of DFT.

Structure (POSCAR):
```
MnPSe
1.0
3.251 0.000 0.000
-1.626 2.816 0.000
0.000 0.000 5.099
Mn Se P
1 1 1
direct
0.000 0.000 0.983
0.667 0.333 0.287
0.333 0.667 0.729
```

The calculation puts the total magnetization at 2.04 μB per formula unit. Its symmetry is No. 156. As for the uncorrected formation energy: -189 meV/atom.

[4]
Computed, not measured: crystalline MnSi2P at its relaxed geometry at the PBEsol level of DFT.

Structure (POSCAR):
```
MnSi2P
1.0
-1.362 2.509 -0.017
-2.712 -1.453 2.837
3.287 1.797 1.865
P Si Mn
1 2 1
direct
0.500 0.500 0.500
0.000 0.000 0.500
0.000 0.500 0.000
0.500 0.000 0.000
```

The calculation puts the total magnetization at 0.01 μB per formula unit. Its symmetry is No. 65. As for the uncorrected formation energy: 87 meV/atom.

[5]
Computed, not measured: crystalline MnSi2P at its relaxed geometry at the PBEsol level of DFT.

Structure (POSCAR):
```
MnSi2P
1.0
-0.091 -0.521 3.768
3.072 -0.649 -0.016
-0.668 4.417 0.595
Si Mn P
2 1 1
direct
0.500 0.546 0.216
0.000 0.980 0.085
0.000 0.698 0.522
0.500 0.276 0.677
```

The calculation puts the total magnetization at 0.00 μB per formula unit. Its symmetry is No. 38. As for the uncorrected formation energy: -58 meV/atom.

[6]
Computed, not measured: crystalline MnSi4P at its relaxed geometry at the PBEsol level of DFT.

Structure (POSCAR):
```
MnSi4P
1.0
4.946 0.000 0.000
2.473 4.283 0.000
2.473 1.428 4.038
Mn P Si
1 1 4
direct
0.750 0.750 0.750
0.000 0.000 0.000
0.375 0.375 0.876
0.375 0.876 0.375
0.375 0.375 0.375
0.876 0.375 0.375
```

The calculation puts the total magnetization at 3.57 μB per formula unit. Its symmetry is No. 216. As for the uncorrected formation energy: 490 meV/atom.

[7]
Computed, not measured: crystalline Mn12SiP3 at its relaxed geometry at the PBEsol level of DFT.

Structure (POSCAR):
```
Mn12SiP3
1.0
-2.323 0.291 3.728
3.500 -2.503 4.995
1.319 5.772 2.935
Mn P Si
12 3 1
direct
0.014 0.043 0.403
0.591 0.394 0.950
0.886 0.975 0.815
0.141 0.183 0.973
0.036 0.324 0.625
0.462 0.955 0.603
0.640 0.380 0.323
0.685 0.021 0.182
0.981 0.681 0.382
0.338 0.620 0.676
0.928 0.610 0.047
0.300 0.812 0.023
0.784 0.671 0.747
0.467 0.747 0.331
0.543 0.253 0.667
0.202 0.330 0.253
```

The calculation puts the total magnetization at 1.14 μB per formula unit. Its symmetry is No. 1. As for the uncorrected formation energy: -361 meV/atom.

[8]
Computed, not measured: crystalline Mn2Si2P at its relaxed geometry at the PBEsol level of DFT.

Structure (POSCAR):
```
Mn2Si2P
1.0
-1.569 3.247 -0.994
-1.387 0.386 3.452
5.656 0.632 0.175
Si P Mn
2 1 2
direct
0.611 0.611 0.223
0.389 0.389 0.777
0.000 0.000 0.000
0.250 0.750 0.500
0.750 0.250 0.500
```

The calculation puts the total magnetization at 4.54 μB per formula unit. Its symmetry is No. 139. As for the uncorrected formation energy: 333 meV/atom.

[9]
Computed, not measured: crystalline MnSiP at its relaxed geometry at the PBEsol level of DFT.

Structure (POSCAR):
```
MnSiP
1.0
2.838 0.000 0.000
-1.419 2.458 0.000
0.000 0.000 5.166
Si P Mn
1 1 1
direct
0.333 0.667 0.317
0.667 0.333 0.693
0.000 0.000 0.989
```

The calculation puts the total magnetization at 0.00 μB per formula unit. Its symmetry is No. 156. As for the uncorrected formation energy: -291 meV/atom.

[10]
Computed, not measured: crystalline TaMn2SiP at its relaxed geometry at the PBEsol level of DFT.

Structure (POSCAR):
```
TaMn2SiP
1.0
4.599 0.000 0.000
0.000 4.599 0.000
0.000 0.000 4.786
P Si Mn Ta
1 1 2 1
direct
0.500 0.500 0.500
0.000 0.000 0.500
0.000 0.500 0.000
0.500 0.000 0.000
0.000 0.000 0.000
```

The calculation puts the total magnetization at 5.27 μB per formula unit. Its symmetry is No. 123. As for the uncorrected formation energy: 1562 meV/atom.

[11]
Computed, not measured: crystalline Sm2Mn12P7 at its relaxed geometry at the PBEsol level of DFT.

Structure (POSCAR):
```
Sm2Mn12P7
1.0
3.592 0.000 0.000
0.000 9.158 0.000
0.000 -4.579 7.931
Sm Mn P
2 12 7
direct
0.000 0.333 0.667
0.500 0.667 0.333
0.500 0.275 0.154
0.500 0.376 0.952
0.500 0.879 0.725
0.000 0.119 0.897
0.500 0.846 0.121
0.000 0.610 0.045
0.000 0.435 0.390
0.000 0.955 0.565
0.500 0.048 0.424
0.500 0.576 0.624
0.000 0.103 0.221
0.000 0.779 0.881
0.500 0.000 0.000
0.500 0.593 0.884
0.000 0.878 0.282
0.000 0.718 0.596
0.500 0.290 0.407
0.500 0.116 0.710
0.000 0.404 0.122
```

The energy of formation comes out at -16.288 kcal/mol of atoms. The calculation puts the total magnetization at 14.45 μB per formula unit. Its symmetry is No. 174.

[12]
Computed, not measured: crystalline MnSn3P at its relaxed geometry at the PBEsol level of DFT.

Structure (POSCAR):
```
MnSn3P
1.0
-2.060 4.401 1.411
-1.949 -2.228 4.104
4.191 1.127 2.602
Sn P Mn
3 1 1
direct
0.000 0.000 0.500
0.500 0.000 0.000
0.000 0.500 0.000
0.000 0.000 0.000
0.500 0.500 0.500
```

The energy of formation comes out at 18.988 kcal/mol of atoms. The calculation puts the total magnetization at 4.38 μB per formula unit. Its symmetry is No. 221.

What did the eighth record say?
Computed, not measured: crystalline Mn2Si2P at its relaxed geometry at the PBEsol level of DFT.

Structure (POSCAR):
```
Mn2Si2P
1.0
-1.569 3.247 -0.994
-1.387 0.386 3.452
5.656 0.632 0.175
Si P Mn
2 1 2
direct
0.611 0.611 0.223
0.389 0.389 0.777
0.000 0.000 0.000
0.250 0.750 0.500
0.750 0.250 0.500
```

The calculation puts the total magnetization at 4.54 μB per formula unit. Its symmetry is No. 139. As for the uncorrected formation energy: 333 meV/atom.

Question: Which value of total magnetization does entry 9 give?
Answer: 0.00 μB per formula unit